(1)
BaLiAg2: optimized geometry, PBE.

```
BaLiAg2
1.0
5.387 0.000 0.000
0.000 5.387 0.000
0.000 0.000 17.571
Ba Li Ag
4 4 8
Cartesian
0.000 1.347 6.589
0.000 4.040 10.982
2.693 1.347 2.196
2.693 4.040 15.375
0.000 1.347 15.375
0.000 4.040 2.196
2.693 1.347 10.982
2.693 4.040 6.589
0.000 0.000 0.000
0.000 2.693 0.000
1.347 1.347 13.178
1.347 4.040 4.393
2.693 0.000 8.786
2.693 2.693 8.786
4.040 1.347 13.178
4.040 4.040 4.393
```

Computed properties:
Space-group type: No. 141
Calculated formation energy: -0.3 eV/f.u.

(2)
PmAl2GaCo2: optimized geometry, PBE.

```
PmAl2GaCo2
1.0
4.361 0.000 0.000
0.000 4.361 0.000
0.000 0.000 5.665
Pm Al Ga Co
1 2 1 2
Cartesian
0.000 0.000 0.000
2.181 2.181 1.439
2.181 2.181 4.226
0.000 0.000 2.832
0.000 2.181 2.832
2.181 0.000 2.832
```

Computed properties:
Space-group type: No. 123
Calculated formation energy: -1.3 eV/f.u.

(3)
TaTlHg2: optimized geometry, PBE.

```
TaTlHg2
1.0
7.969 0.000 0.000
0.000 7.969 0.000
0.000 0.000 5.962
Ta Tl Hg
4 4 8
Cartesian
0.000 0.000 0.000
0.000 3.985 1.491
3.985 0.000 4.472
3.985 3.985 2.981
0.000 0.000 2.981
0.000 3.985 4.472
3.985 0.000 1.491
3.985 3.985 0.000
1.857 1.992 0.745
1.992 5.842 2.236
1.992 6.112 5.217
2.128 1.992 3.726
5.842 5.977 3.726
5.977 1.857 5.217
5.977 2.128 2.236
6.112 5.977 0.745
```

Computed properties:
Space-group type: No. 122
Calculated formation energy: 2.8 eV/f.u.

(4)
TmTh5Sb6: optimized geometry, PBE.

```
TmTh5Sb6
1.0
3.877 -6.724 0.000
3.877 6.724 0.000
-2.598 0.000 7.316
Tm Th Sb
1 5 6
Cartesian
0.000 0.000 0.000
2.578 4.433 3.658
3.877 2.224 0.000
2.578 0.000 3.658
3.877 -2.224 0.000
2.578 -4.433 3.658
1.254 2.189 1.783
-0.077 0.000 5.497
1.254 -2.189 1.783
3.901 2.189 5.532
5.233 0.000 1.819
3.901 -2.189 5.532
```

Computed properties:
Energy relative to the elements, uncorrected: -926 meV per atom
Space-group type: No. 12

(5)
LiEr2Ag3: optimized geometry, PBE.

```
LiEr2Ag3
1.0
5.050 0.000 0.000
0.000 14.790 0.000
0.000 0.000 3.444
Li Er Ag
2 4 6
Cartesian
0.000 0.000 0.000
2.525 7.395 0.000
0.000 4.888 0.000
0.000 9.902 0.000
2.525 2.507 0.000
2.525 12.283 0.000
0.000 2.228 1.722
0.000 7.395 1.722
0.000 12.562 1.722
2.525 0.000 1.722
2.525 5.167 1.722
2.525 9.624 1.722
```

Computed properties:
Space-group type: No. 65
Calculated formation energy: -1.4 eV/f.u.

(6)
Cs2CS: optimized geometry, PBE.

```
Cs2CS
1.0
7.387 0.000 0.000
0.000 7.387 0.000
0.000 0.000 16.635
Cs C S
8 4 4
Cartesian
1.783 1.847 2.079
1.847 5.477 6.238
1.847 5.604 14.556
1.910 1.847 10.397
5.477 5.540 10.397
5.540 1.783 14.556
5.540 1.910 6.238
5.604 5.540 2.079
0.000 0.000 0.000
0.000 3.694 4.159
3.694 0.000 12.476
3.694 3.694 8.318
0.000 0.000 8.318
0.000 3.694 12.476
3.694 0.000 4.159
3.694 3.694 0.000
```

Computed properties:
Energy relative to the elements, uncorrected: 1026 meV per atom
Space-group type: No. 122

(7)
SrCaOs2: optimized geometry, PBE.

```
SrCaOs2
1.0
3.312 0.000 0.000
0.000 4.855 0.000
0.000 0.000 9.767
Sr Ca Os
2 2 4
Cartesian
0.000 0.000 0.000
1.656 2.427 4.884
0.000 0.000 4.884
1.656 2.427 0.000
0.000 2.427 2.405
0.000 2.427 7.362
1.656 0.000 2.479
1.656 0.000 7.288
```

Computed properties:
Space-group type: No. 71
Calculated formation energy: 3.9 eV/f.u.

(8)
Ba3Pb2Cl2O4: optimized geometry, PBE.

```
Ba3Pb2Cl2O4
1.0
-2.327 2.327 11.813
2.327 -2.327 11.813
2.327 2.327 -11.813
Ba Pb Cl O
3 2 2 4
Cartesian
0.000 0.000 0.000
0.000 0.000 3.740
0.000 0.000 19.886
0.000 0.000 10.105
0.000 0.000 13.520
0.000 0.000 6.974
0.000 0.000 16.651
2.327 0.000 2.076
2.327 0.000 9.737
0.000 2.327 2.076
0.000 2.327 9.737
```

Computed properties:
Energy relative to the elements, uncorrected: -1907 meV per atom
Space-group type: No. 139

(9)
Nd6Sn2BiTe3: optimized geometry, PBE.

```
Nd6Sn2BiTe3
1.0
9.889 -2.271 0.000
9.889 2.271 0.000
-2.063 0.000 8.855
Nd Sn Bi Te
6 2 1 3
Cartesian
-0.439 0.000 2.223
5.677 0.000 3.738
4.711 0.000 8.036
13.004 0.000 0.820
12.037 0.000 5.117
18.154 0.000 6.632
2.615 0.000 2.955
15.100 0.000 5.901
9.889 0.000 0.000
1.546 0.000 7.382
8.857 0.000 4.428
16.169 0.000 1.473
```

Computed properties:
Energy relative to the elements, uncorrected: -1164 meV per atom
Space-group type: No. 12

(10)
Tb14SmHo: optimized geometry, PBE.

```
Tb14SmHo
1.0
11.511 0.000 0.000
0.000 3.576 6.196
0.000 -3.576 6.196
Tb Sm Ho
14 1 1
Cartesian
0.000 0.000 12.389
0.000 1.787 9.292
0.000 -1.787 9.292
0.000 0.000 6.196
2.867 0.000 2.062
2.873 -1.789 5.162
2.873 1.789 5.162
2.883 0.000 8.260
5.756 -1.790 7.228
5.756 1.790 7.228
8.638 -1.789 5.162
8.638 1.789 5.162
8.628 0.000 8.260
8.644 0.000 2.062
5.756 0.000 4.128
5.756 0.000 10.325
```

Computed properties:
Space-group type: No. 38
Calculated formation energy: 0.0 eV/f.u.

(11)
In2ReIr: optimized geometry, PBE.

```
In2ReIr
1.0
6.529 0.000 0.000
0.000 6.529 0.000
0.000 0.000 6.529
In Re Ir
8 4 4
Cartesian
1.632 1.632 1.632
1.632 1.632 4.897
1.632 4.897 1.632
1.632 4.897 4.897
4.897 1.632 1.632
4.897 1.632 4.897
4.897 4.897 1.632
4.897 4.897 4.897
0.000 0.000 0.000
0.000 3.265 3.265
3.265 0.000 3.265
3.265 3.265 0.000
0.000 0.000 3.265
0.000 3.265 0.000
3.265 0.000 0.000
3.265 3.265 3.265
```

Computed properties:
Space-group type: No. 225
Calculated formation energy: 1.9 eV/f.u.

(12)
Ba4SbAsBr2: optimized geometry, PBE.

```
Ba4SbAsBr2
1.0
8.491 0.000 0.000
0.000 4.884 0.000
-2.871 0.000 8.072
Ba Sb As Br
4 1 1 2
Cartesian
1.207 0.000 1.872
-0.252 2.442 6.091
5.871 2.442 1.981
4.412 0.000 6.200
-1.436 0.000 4.036
0.000 2.442 0.000
4.246 0.000 0.000
2.810 2.442 4.036
```

Computed properties:
Energy relative to the elements, uncorrected: -1553 meV per atom
Space-group type: No. 10

(13)
KBeCl2: optimized geometry, PBE.

```
KBeCl2
1.0
3.565 0.000 0.000
0.000 3.565 0.000
0.000 0.000 7.230
K Be Cl
1 1 2
Cartesian
0.000 0.000 0.000
0.000 0.000 3.615
1.782 1.782 1.970
1.782 1.782 5.259
```

Computed properties:
Energy relative to the elements, uncorrected: -452 meV per atom
Space-group type: No. 123

(14)
Zr4MnBi: optimized geometry, PBE.

```
Zr4MnBi
1.0
7.819 0.000 0.000
0.000 3.619 0.000
0.000 0.000 18.407
Zr Mn Bi
16 4 4
Cartesian
0.048 0.905 1.239
0.293 0.905 14.567
1.043 0.905 10.053
1.191 0.905 6.526
2.719 2.715 15.729
2.866 2.715 0.849
3.617 2.715 5.364
3.862 2.715 10.443
3.957 0.905 7.964
4.202 0.905 13.043
4.953 0.905 17.558
5.100 0.905 2.678
6.628 2.715 11.881
6.776 2.715 8.354
7.526 2.715 3.840
7.771 2.715 17.168
1.915 0.905 17.471
1.995 2.715 8.268
5.824 0.905 10.139
5.904 2.715 0.936
1.769 2.715 12.647
2.141 0.905 3.443
5.678 2.715 14.963
6.050 0.905 5.760
```

Computed properties:
Space-group type: No. 62
Calculated formation energy: -1.2 eV/f.u.

(15)
DyU3C4: optimized geometry, PBE.

```
DyU3C4
1.0
6.983 0.000 0.000
0.000 10.018 0.000
0.000 0.000 3.531
Dy U C
2 6 8
Cartesian
0.000 0.000 0.000
3.491 5.009 0.000
0.000 5.009 0.000
1.746 2.504 1.766
1.746 7.513 1.766
3.491 0.000 0.000
5.237 2.504 1.766
5.237 7.513 1.766
0.000 2.586 0.000
0.000 7.432 0.000
1.592 5.009 1.766
1.899 0.000 1.766
3.491 2.423 0.000
3.491 7.595 0.000
5.084 0.000 1.766
5.391 5.009 1.766
```

Computed properties:
Space-group type: No. 65
Calculated formation energy: -1.4 eV/f.u.

(16)
YScCuAg: optimized geometry, PBE.

```
YScCuAg
1.0
6.948 0.000 0.000
0.000 6.948 0.000
0.000 0.000 6.948
Y Sc Cu Ag
4 4 4 4
Cartesian
0.000 0.000 0.000
0.000 3.474 3.474
3.474 0.000 3.474
3.474 3.474 0.000
0.000 0.000 3.474
0.000 3.474 0.000
3.474 0.000 0.000
3.474 3.474 3.474
1.737 1.737 1.737
1.737 5.211 5.211
5.211 1.737 5.211
5.211 5.211 1.737
1.737 1.737 5.211
1.737 5.211 1.737
5.211 1.737 1.737
5.211 5.211 5.211
```

Computed properties:
Space-group type: No. 216
Calculated formation energy: -0.9 eV/f.u.

(17)
TiHS2Cl: optimized geometry, PBE.

```
TiHS2Cl
1.0
4.661 0.000 0.000
0.000 4.661 0.000
0.000 0.000 4.928
Ti H S Cl
1 1 2 1
Cartesian
0.000 0.000 0.000
2.331 2.331 2.464
0.000 2.331 0.000
2.331 0.000 0.000
0.000 0.000 2.464
```

Computed properties:
DFT total energy: -4.431 eV per atom
Space-group type: No. 123

(18)
Y2VCuAu: optimized geometry, PBE.

```
Y2VCuAu
1.0
5.467 0.000 0.000
0.000 5.467 0.000
0.000 0.000 4.731
Y V Cu Au
2 1 1 1
Cartesian
0.000 2.734 0.000
2.734 0.000 0.000
0.000 0.000 2.366
2.734 2.734 2.366
2.734 2.734 0.000
```

Computed properties:
Space-group type: No. 123
Calculated formation energy: 2.6 eV/f.u.

(19)
TaAgRu2: optimized geometry, PBE.

```
TaAgRu2
1.0
2.975 0.000 0.000
-1.487 2.576 0.000
0.000 0.000 26.147
Ta Ag Ru
3 3 6
Cartesian
0.000 0.000 0.000
0.000 1.718 17.431
1.487 0.859 8.716
0.000 0.000 13.073
0.000 1.718 4.358
1.487 0.859 21.789
0.000 0.000 6.745
0.000 0.000 19.402
0.000 1.718 10.686
0.000 1.718 24.176
1.487 0.859 1.971
1.487 0.859 15.460
```

Computed properties:
Space-group type: No. 166
Calculated formation energy: 0.6 eV/f.u.

(20)
PrTmBi2: optimized geometry, PBE.

```
PrTmBi2
1.0
4.509 0.000 0.000
-2.255 3.905 0.000
0.000 0.000 23.123
Pr Tm Bi
3 3 6
Cartesian
0.000 0.000 0.000
0.000 2.603 15.416
2.255 1.302 7.708
0.000 0.000 19.177
0.000 2.603 11.469
2.255 1.302 3.761
0.000 0.000 9.649
0.000 0.000 13.377
0.000 2.603 1.941
0.000 2.603 5.669
2.255 1.302 17.357
2.255 1.302 21.085
```

Computed properties:
Space-group type: No. 160
Calculated formation energy: -3.0 eV/f.u.

(21)
CrReB: optimized geometry, PBE.

```
CrReB
1.0
2.912 0.000 0.000
-1.456 2.522 0.000
0.000 0.000 13.829
Cr Re B
3 3 3
Cartesian
0.000 0.000 0.000
0.000 1.681 9.220
1.456 0.841 4.610
0.000 0.000 7.066
0.000 1.681 2.456
1.456 0.841 11.675
0.000 0.000 10.364
0.000 1.681 5.754
1.456 0.841 1.144
```

Computed properties:
Space-group type: No. 160
Calculated formation energy: -0.1 eV/f.u.

(22)
ZrCr2Br: optimized geometry, PBE.

```
ZrCr2Br
1.0
3.219 0.000 0.000
0.000 4.382 0.000
-0.009 0.000 5.105
Zr Cr Br
1 2 1
Cartesian
0.000 0.000 0.000
1.600 2.191 4.135
1.610 2.191 0.970
1.605 0.000 2.553
```

Computed properties:
Energy relative to the elements, uncorrected: 427 meV per atom
Space-group type: No. 10

(23)
Na2LiRu: optimized geometry, PBE.

```
Na2LiRu
1.0
6.953 0.000 0.000
0.000 6.953 0.000
0.000 0.000 6.953
Na Li Ru
8 4 4
Cartesian
1.738 1.738 1.738
1.738 1.738 5.215
1.738 5.215 1.738
1.738 5.215 5.215
5.215 1.738 1.738
5.215 1.738 5.215
5.215 5.215 1.738
5.215 5.215 5.215
0.000 0.000 0.000
0.000 3.476 3.476
3.476 0.000 3.476
3.476 3.476 0.000
0.000 0.000 3.476
0.000 3.476 0.000
3.476 0.000 0.000
3.476 3.476 3.476
```

Computed properties:
Space-group type: No. 225
Calculated formation energy: 3.2 eV/f.u.

(24)
CaPr2Ag3: optimized geometry, PBE.

```
CaPr2Ag3
1.0
5.316 0.000 0.000
-2.658 4.604 0.000
0.000 0.000 13.006
Ca Pr Ag
2 4 6
Cartesian
0.000 3.069 2.156
2.658 1.535 10.850
0.000 0.000 0.000
0.000 0.000 6.503
0.000 3.069 8.716
2.658 1.535 4.290
0.000 0.000 3.250
0.000 0.000 9.756
0.000 3.069 5.447
0.000 3.069 11.950
2.658 1.535 1.056
2.658 1.535 7.559
```

Computed properties:
Space-group type: No. 164
Calculated formation energy: -1.7 eV/f.u.

(25)
CeScCdOs: optimized geometry, PBE.

```
CeScCdOs
1.0
6.988 0.000 0.000
0.000 6.988 0.000
0.000 0.000 6.988
Ce Sc Cd Os
4 4 4 4
Cartesian
0.000 0.000 0.000
0.000 3.494 3.494
3.494 0.000 3.494
3.494 3.494 0.000
0.000 0.000 3.494
0.000 3.494 0.000
3.494 0.000 0.000
3.494 3.494 3.494
1.747 1.747 1.747
1.747 5.241 5.241
5.241 1.747 5.241
5.241 5.241 1.747
1.747 1.747 5.241
1.747 5.241 1.747
5.241 1.747 1.747
5.241 5.241 5.241
```

Computed properties:
Space-group type: No. 216
Calculated formation energy: -0.5 eV/f.u.